FeCu2F GGA+U optimized geometry; DOS(E_F) = 1.6 states/eV/cell; energy = -4.050 eV/atom
1.0
-3.3839 3.3839 2.3467
3.3839 -3.3839 2.3467
3.3839 3.3839 -2.3467
Fe Cu F
2 4 2
Direct
0.0000 0.0000 0.0000 Fe
0.7500 0.2500 0.5000 Fe
0.1608 0.6250 0.0358 Cu
0.3750 0.4108 0.5358 Cu
0.5892 0.1250 0.9642 Cu
0.8750 0.8392 0.4642 Cu
0.2500 0.7500 0.5000 F
0.5000 0.5000 0.0000 F